PBE Nd6Ho5Er2, optimized geometry; energy relative to the elements = 0.104 eV per atom
1.0
11.679 0.000 0.000
0.000 20.588 0.000
0.000 0.000 3.616
Nd Ho Er
12 10 4
Direct
0.061 0.080 0.000
0.084 0.367 0.000
0.172 0.635 0.500
0.328 0.135 0.500
0.416 0.867 0.000
0.439 0.580 0.000
0.561 0.420 0.000
0.584 0.133 0.000
0.672 0.865 0.500
0.828 0.365 0.500
0.916 0.633 0.000
0.939 0.920 0.000
0.000 0.500 0.500
0.094 0.227 0.500
0.198 0.944 0.500
0.302 0.444 0.500
0.406 0.727 0.500
0.500 0.000 0.500
0.594 0.273 0.500
0.698 0.556 0.500
0.802 0.056 0.500
0.906 0.773 0.500
0.165 0.790 0.000
0.335 0.290 0.000
0.665 0.710 0.000
0.835 0.210 0.000